Arrangement w

A plane-wave DFT calculation with PBE was carried out for a relaxed structure of Pm7NdSm12.

Cell and atoms, written as extended XYZ:
```
20
Lattice="8.756 0.812 1.219 -1.655 8.636 1.219 -1.655 -2.201 8.439" Properties=species:S:1:pos:R:3 pbc="T T T"
Sm 2.224 6.525 6.687
Pm 2.723 3.623 5.438
Nd 0.000 0.000 0.000
Sm -0.203 2.597 4.655
Pm 0.115 3.064 0.604
Sm 2.551 4.093 2.279
Sm 3.222 0.721 4.190
Sm 5.569 1.325 6.985
Pm 2.911 0.186 1.121
Pm 5.331 4.182 10.273
Sm 1.294 0.246 6.963
Sm -0.123 5.921 3.892
Pm 2.535 7.060 9.756
Sm 5.650 4.649 6.222
Sm 4.153 7.000 3.913
Pm 6.077 7.309 7.817
Sm 2.895 3.153 8.598
Sm -0.276 4.244 7.967
Pm -0.631 -0.063 3.060
Sm 5.722 3.003 2.910
```

Output
Crystal system: trigonal
Calculated density: 7099 kg/m3
Fermi-level density of states: 1.21 states/eV/atom


Arrangement x

A plane-wave DFT calculation with PBE was carried out for a relaxed structure of Pm7NdSm12.

Cell and atoms, written as extended XYZ:
```
20
Lattice="9.410 0.000 -3.327 -4.705 8.149 -3.327 0.000 0.000 9.980" Properties=species:S:1:pos:R:3 pbc="T T T"
Sm 4.703 4.066 3.329
Sm 2.357 0.002 6.647
Sm 3.537 2.040 0.002
Pm 2.352 4.075 -3.327
Pm 2.352 4.075 1.663
Sm 1.168 6.109 3.325
Nd 0.000 0.000 0.000
Pm 0.000 0.000 4.990
Sm 3.528 6.106 -0.007
Sm 2.348 8.147 -3.320
Pm -2.352 4.075 3.327
Sm -1.170 6.106 6.652
Sm 0.001 4.083 -0.002
Sm 5.874 2.043 -3.325
Pm 4.705 0.000 3.327
Sm 8.229 2.040 3.320
Sm -3.524 6.109 0.007
Sm 1.177 2.043 3.334
Pm -2.352 4.075 -1.663
Pm 4.705 0.000 -1.663
```

Output
Crystal system: cubic
Calculated density: 6430 kg/m3
Fermi-level density of states: 1.38 states/eV/atom


What should be chosen as the most stable of them? Choose arrangement w.


Arrangement w

A plane-wave DFT calculation with PBE was carried out for a relaxed structure of Pm2Nd3Sm4.

Cell and atoms, written as extended XYZ:
```
9
Lattice="-0.984 3.266 -1.308 -1.952 -2.970 -0.846 -15.629 4.044 21.866" Properties=species:S:1:pos:R:3 pbc="T T T"
Nd -5.044 1.305 7.057
Pm -2.719 1.553 0.822
Nd -11.507 3.827 13.117
Sm -8.472 2.192 11.853
Pm -14.911 4.707 17.880
Sm -4.695 2.064 3.586
Sm -11.926 3.086 16.685
Sm -8.112 2.948 8.366
Nd -15.375 3.978 21.511
```

Output
Crystal system: trigonal
Calculated density: 6999 kg/m3
Fermi-level density of states: 1.83 states/eV/atom


Arrangement x

A plane-wave DFT calculation with PBE was carried out for a relaxed structure of Pm2Nd3Sm4.

Cell and atoms, written as extended XYZ:
```
9
Lattice="-5.246 1.935 1.802 2.322 5.304 -8.512 -2.037 -11.462 6.379" Properties=species:S:1:pos:R:3 pbc="T T T"
Sm -1.942 -8.693 3.681
Nd -3.588 -3.350 2.729
Nd 0.000 0.000 0.000
Pm -1.845 -6.186 1.271
Nd -1.373 -0.873 -3.060
Sm -3.019 4.469 -4.012
Pm -3.116 1.963 -1.602
Sm -3.565 -0.845 0.105
Sm -1.396 -3.378 -0.436
```

Output
Crystal system: monoclinic
Calculated density: 7076 kg/m3
Fermi-level density of states: 1.64 states/eV/atom


What should be chosen as the most stable of them? Choose arrangement w.


Arrangement w

A plane-wave DFT calculation with PBE was carried out for a relaxed structure of PmNd6Sm8.

Cell and atoms, written as extended XYZ:
```
15
Lattice="-5.685 4.807 5.760 1.787 0.260 9.238 2.511 7.267 4.106" Properties=species:S:1:pos:R:3 pbc="T T T"
Sm -0.228 5.437 6.191
Pm 0.000 0.000 0.000
Nd -1.435 11.193 15.754
Sm -1.160 6.897 12.913
Nd -2.768 3.249 4.502
Nd 0.047 1.141 3.350
Nd -0.304 1.957 6.942
Sm -3.305 8.235 10.528
Sm -3.014 7.249 7.208
Sm 1.917 4.100 8.576
Sm 0.120 7.359 9.361
Sm 1.626 5.085 11.896
Sm -1.508 4.975 9.743
Nd -1.084 10.377 12.162
Nd 1.380 9.085 14.602
```

Output
Crystal system: trigonal
Calculated density: 7028 kg/m3
Fermi-level density of states: 1.45 states/eV/atom


Arrangement x

A plane-wave DFT calculation with PBE was carried out for a relaxed structure of PmNd6Sm8.

Cell and atoms, written as extended XYZ:
```
15
Lattice="-2.071 5.702 -2.654 -8.459 -1.015 4.418 7.172 4.640 4.374" Properties=species:S:1:pos:R:3 pbc="T T T"
Sm -2.438 7.502 4.253
Nd 2.892 5.786 4.666
Pm -1.035 2.851 -1.327
Sm -0.919 1.825 1.884
Nd -0.798 4.339 4.437
Sm -3.495 1.548 4.088
Sm -6.478 0.328 3.004
Nd -6.250 3.542 1.472
Sm 3.120 9.000 3.134
Nd -2.559 4.988 1.700
Sm 0.137 7.779 2.050
Nd -5.077 5.484 4.730
Nd 1.720 3.843 1.408
Sm 0.026 6.018 -0.857
Sm -3.384 3.309 6.995
```

Output
Crystal system: trigonal
Calculated density: 6959 kg/m3
Fermi-level density of states: 1.50 states/eV/atom


What should be chosen as the most stable of them? Choose arrangement w.


Arrangement w

A plane-wave DFT calculation with PBE was carried out for a relaxed structure of Pm3Nd2Sm3.

Cell and atoms, written as extended XYZ:
```
16
Lattice="6.216 1.439 0.000 -1.333 5.748 0.000 0.000 0.000 14.752" Properties=species:S:1:pos:R:3 pbc="T T T"
Pm 4.187 5.511 1.845
Pm 0.695 1.676 9.221
Sm 3.807 2.397 7.376
Nd 0.707 1.678 1.841
Nd 0.707 1.678 5.535
Sm 1.075 4.790 14.752
Nd 4.175 5.509 12.911
Pm 4.187 5.511 5.531
Pm 1.065 4.788 11.064
Sm 1.075 4.790 7.376
Sm 3.795 2.394 11.064
Pm 3.817 2.399 3.688
Nd 4.175 5.509 9.217
Sm 1.087 4.793 3.688
Pm 0.695 1.676 12.907
Sm 3.807 2.397 0.000
```

Output
Crystal system: orthorhombic
Calculated density: 7024 kg/m3
Fermi-level density of states: 1.76 states/eV/atom


Arrangement x

A plane-wave DFT calculation with PBE was carried out for a relaxed structure of Pm3Nd2Sm3.

Cell and atoms, written as extended XYZ:
```
8
Lattice="5.916 -0.013 0.004 -0.013 6.104 -0.239 -2.948 -2.729 7.763" Properties=species:S:1:pos:R:3 pbc="T T T"
Nd -0.001 0.562 3.807
Pm 2.961 -0.104 5.643
Pm 0.000 0.000 0.000
Nd 2.956 2.800 3.720
Sm 0.000 3.601 5.513
Sm 2.956 -0.239 2.014
Sm 2.952 3.046 -0.118
Pm -0.005 3.467 1.884
```

Output
Crystal system: triclinic
Calculated density: 7053 kg/m3
Fermi-level density of states: 1.65 states/eV/atom


What should be chosen as the most stable of them? Choose arrangement w.


Arrangement w

A plane-wave DFT calculation with PBE was carried out for a relaxed structure of PmNd2Sm3.

Cell and atoms, written as extended XYZ:
```
12
Lattice="-1.240 -8.711 -1.493 3.209 0.661 -6.523 4.005 -1.580 5.894" Properties=species:S:1:pos:R:3 pbc="T T T"
Sm 3.457 -4.123 3.326
Sm 0.912 -5.837 -2.184
Sm 5.062 -3.793 0.064
Nd 0.000 0.000 0.000
Sm 4.519 -6.297 -2.499
Pm 3.059 -3.005 -2.884
Nd 1.605 0.330 -3.261
Nd 2.002 -0.790 2.947
Sm 2.517 -5.507 -5.447
Pm 2.915 -6.626 0.763
Nd 3.607 -0.460 -0.314
Sm 1.454 -3.333 0.378
```

Output
Crystal system: trigonal
Calculated density: 7134 kg/m3
Fermi-level density of states: 1.25 states/eV/atom


Arrangement x

A plane-wave DFT calculation with PBE was carried out for a relaxed structure of PmNd2Sm3.

Cell and atoms, written as extended XYZ:
```
12
Lattice="-5.622 1.123 -3.681 0.247 -7.292 -2.602 -4.368 -2.274 5.979" Properties=species:S:1:pos:R:3 pbc="T T T"
Nd -4.550 -2.311 -3.213
Sm -6.024 -2.968 1.992
Nd -5.193 -6.132 2.909
Sm -3.072 -3.587 0.445
Sm -0.907 -6.036 -0.455
Nd -5.946 -0.793 -0.617
Pm -1.805 -0.646 -0.593
Pm -7.938 -7.797 0.289
Sm -3.719 -5.475 -2.295
Sm -6.671 -4.856 -0.749
Nd -3.797 -7.650 0.314
Sm -3.213 -3.530 3.832
```

Output
Crystal system: orthorhombic
Calculated density: 7187 kg/m3
Fermi-level density of states: 1.12 states/eV/atom


What should be chosen as the most stable of them? Choose arrangement w.


Arrangement w

A plane-wave DFT calculation with PBE was carried out for a relaxed structure of Pm4Nd5Sm2.

Cell and atoms, written as extended XYZ:
```
11
Lattice="-1.658 -2.609 1.770 7.456 -5.073 -0.496 3.057 5.105 10.386" Properties=species:S:1:pos:R:3 pbc="T T T"
Nd 1.986 -0.140 1.653
Sm 8.172 -2.944 3.314
Pm 6.096 -2.076 6.233
Pm 2.759 -0.502 5.427
Nd 5.341 1.457 7.150
Nd 3.728 -2.537 -0.248
Sm 2.341 2.975 6.576
Nd 8.526 0.172 8.237
Nd 5.171 -1.426 2.740
Pm 5.792 -5.059 1.551
Pm 3.063 2.481 10.109
```

Output
Crystal system: monoclinic
Calculated density: 6928 kg/m3
Fermi-level density of states: 1.57 states/eV/atom


Arrangement x

A plane-wave DFT calculation with PBE was carried out for a relaxed structure of Pm4Nd5Sm2.

Cell and atoms, written as extended XYZ:
```
11
Lattice="3.480 0.000 -0.530 -0.203 8.877 -1.334 0.100 0.378 12.341" Properties=species:S:1:pos:R:3 pbc="T T T"
Nd 1.740 0.000 -0.265
Nd 0.494 1.135 3.239
Pm 2.297 4.318 3.391
Pm 3.282 6.007 9.856
Nd 2.694 1.771 5.998
Sm 3.192 2.686 9.265
Pm 1.080 4.937 7.086
Nd 0.683 7.484 4.479
Sm 0.185 6.569 1.212
Nd 2.883 8.121 7.238
Pm 0.095 3.248 0.621
```

Output
Crystal system: monoclinic
Calculated density: 6936 kg/m3
Fermi-level density of states: 1.65 states/eV/atom


What should be chosen as the most stable of them? Choose arrangement w.


Arrangement w

A plane-wave DFT calculation with PBE was carried out for a relaxed structure of Pm6NdSm12.

Cell and atoms, written as extended XYZ:
```
19
Lattice="-8.219 -3.327 0.972 4.336 -4.818 -7.115 0.811 -9.341 2.174" Properties=species:S:1:pos:R:3 pbc="T T T"
Sm -0.601 -6.185 1.037
Sm -0.459 -8.268 -4.908
Sm -3.848 -14.868 -1.563
Sm -4.621 -12.250 0.838
Sm 0.174 -8.803 -1.369
Pm -6.031 -9.100 -0.292
Pm -1.235 -5.651 -2.507
Pm -1.838 -11.834 -1.462
Pm 0.950 -11.425 -3.772
Sm 1.549 -5.236 -4.807
Nd 0.000 0.000 0.000
Sm -3.247 -8.683 -2.600
Sm 0.775 -2.618 -2.406
Sm -2.614 -9.218 0.939
Pm 2.959 -8.386 -3.677
Sm -2.013 -3.034 -0.100
Pm -4.023 -6.061 -0.197
Sm -1.060 -14.452 -3.868
Sm -2.472 -11.301 -5.006
```

Output
Crystal system: trigonal
Calculated density: 7230 kg/m3
Fermi-level density of states: 1.45 states/eV/atom


Arrangement x

A plane-wave DFT calculation with PBE was carried out for a relaxed structure of Pm6NdSm12.

Cell and atoms, written as extended XYZ:
```
19
Lattice="8.631 0.686 0.822 -0.630 8.635 0.822 -0.630 -0.735 8.643" Properties=species:S:1:pos:R:3 pbc="T T T"
Sm 3.871 3.559 7.518
Pm 1.758 0.484 6.299
Sm 3.499 5.028 2.768
Pm 1.596 5.923 8.685
Pm 0.211 5.874 2.908
Sm 7.581 7.130 7.007
Nd 0.000 0.000 0.000
Sm 1.471 3.224 0.598
Pm 5.774 2.664 1.601
Pm 7.159 2.713 7.379
Sm 4.406 8.346 8.268
Sm 1.274 3.735 5.442
Sm 6.096 4.852 4.845
Sm -0.211 1.456 3.279
Sm 5.899 5.362 9.689
Sm 4.440 1.970 4.648
Sm 2.964 0.241 2.019
Pm 5.612 8.103 3.988
Sm 2.931 6.617 5.639
```

Output
Crystal system: trigonal
Calculated density: 7117 kg/m3
Fermi-level density of states: 1.57 states/eV/atom


What should be chosen as the most stable of them? Choose arrangement w.


Arrangement w

A plane-wave DFT calculation with PBE was carried out for a relaxed structure of Pm2Nd4Sm.

Cell and atoms, written as extended XYZ:
```
7
Lattice="3.552 0.000 -0.594 -0.251 5.716 -1.502 0.201 0.128 12.116" Properties=species:S:1:pos:R:3 pbc="T T T"
Nd 0.184 3.361 1.102
Nd 1.220 5.028 7.295
Pm 2.480 4.197 3.915
Sm 0.000 0.000 0.000
Nd 3.317 2.484 8.918
Pm 1.021 1.648 6.105
Nd 2.281 0.817 2.725
```

Output
Crystal system: orthorhombic
Calculated density: 6829 kg/m3
Fermi-level density of states: 1.65 states/eV/atom


Arrangement x

A plane-wave DFT calculation with PBE was carried out for a relaxed structure of Pm2Nd4Sm.

Cell and atoms, written as extended XYZ:
```
7
Lattice="3.666 0.000 0.000 1.833 3.175 0.000 1.833 1.058 20.903" Properties=species:S:1:pos:R:3 pbc="T T T"
Nd 5.499 3.175 8.947
Nd 1.833 1.058 2.972
Pm 3.666 2.117 5.960
Pm 3.666 2.117 14.942
Sm 0.000 0.000 0.000
Nd 1.833 1.058 11.956
Nd 5.499 3.175 17.931
```

Output
Crystal system: trigonal
Calculated density: 6943 kg/m3
Fermi-level density of states: 1.34 states/eV/atom


What should be chosen as the most stable of them? Choose arrangement x.


Arrangement w

A plane-wave DFT calculation with PBE was carried out for a relaxed structure of Pm4NdSm5.

Cell and atoms, written as extended XYZ:
```
10
Lattice="3.569 0.003 -0.721 -0.383 10.119 -1.924 0.087 -0.801 9.597" Properties=species:S:1:pos:R:3 pbc="T T T"
Nd 1.784 0.002 -0.360
Sm 1.593 5.061 -1.322
Pm 0.777 8.627 3.807
Sm 0.971 3.567 4.773
Pm 2.496 0.694 3.145
Sm 3.204 1.398 6.638
Sm 2.302 5.754 2.179
Pm 3.014 6.432 5.682
Sm 0.069 7.923 0.314
Pm 0.259 2.889 1.270
```

Output
Crystal system: triclinic
Calculated density: 7178 kg/m3
Fermi-level density of states: 1.42 states/eV/atom


Arrangement x

A plane-wave DFT calculation with PBE was carried out for a relaxed structure of Pm4NdSm5.

Cell and atoms, written as extended XYZ:
```
10
Lattice="6.193 0.000 0.000 3.096 7.510 0.000 3.096 0.000 7.510" Properties=species:S:1:pos:R:3 pbc="T T T"
Pm 2.859 2.448 2.450
Sm 5.838 0.002 2.843
Pm 5.955 5.060 2.448
Sm 8.935 2.843 7.508
Nd 1.320 0.000 0.000
Sm 5.838 7.508 4.667
Pm 5.955 2.450 5.062
Sm 4.205 0.000 0.000
Pm 9.052 5.062 5.060
Sm 2.742 4.667 0.002
```

Output
Crystal system: tetragonal
Calculated density: 7018 kg/m3
Fermi-level density of states: 1.45 states/eV/atom


What should be chosen as the most stable of them? Choose arrangement w.


Arrangement w

A plane-wave DFT calculation with PBE was carried out for a relaxed structure of Pm8NdSm6.

Cell and atoms, written as extended XYZ:
```
15
Lattice="-8.764 -1.140 -3.175 -1.883 -6.728 -6.274 -4.815 -6.989 1.913" Properties=species:S:1:pos:R:3 pbc="T T T"
Pm -5.885 -5.545 -1.520
Sm -11.756 -10.295 -3.381
Pm -6.224 -10.038 -5.480
Pm -8.004 -8.371 -2.675
Sm -5.426 -1.895 -2.286
Pm -11.150 -6.935 -4.035
Nd 0.000 0.000 0.000
Pm -9.576 -9.312 -6.016
Sm -1.808 -2.422 -1.835
Sm -13.653 -12.435 -5.701
Pm -9.237 -4.820 -2.057
Sm -10.036 -12.962 -5.251
Pm -4.311 -7.922 -3.501
Pm -7.458 -6.486 -4.861
Sm -3.706 -4.562 -4.155
```

Output
Crystal system: trigonal
Calculated density: 7051 kg/m3
Fermi-level density of states: 1.49 states/eV/atom


Arrangement x

A plane-wave DFT calculation with PBE was carried out for a relaxed structure of Pm8NdSm6.

Cell and atoms, written as extended XYZ:
```
15
Lattice="6.637 0.000 0.000 0.000 8.268 -4.774 0.000 0.000 9.547" Properties=species:S:1:pos:R:3 pbc="T T T"
Pm 5.869 2.756 4.774
Sm 2.246 2.880 7.047
Sm 4.391 3.605 1.243
Nd 3.319 0.000 0.000
Sm 2.246 4.663 3.530
Pm 0.769 5.512 0.000
Pm 5.550 2.096 8.050
Pm 1.087 8.019 2.210
Sm 2.246 0.726 3.744
Sm 4.391 7.542 1.030
Pm 5.550 0.249 2.563
Pm 5.550 5.924 3.708
Pm 1.087 6.173 -3.276
Sm 4.391 5.389 -2.273
Pm 1.087 2.344 1.066
```

Output
Crystal system: trigonal
Calculated density: 6993 kg/m3
Fermi-level density of states: 1.57 states/eV/atom


What should be chosen as the most stable of them? Choose arrangement w.